# PBE-GGA AlCoW, relaxed
# E_tot = -8.154 eV/atom
# total magnetic moment = 0.0000 μB per atom
# space-group type = Amm2 (38)
# energy of formation from the pure elements = -0.221 eV per atom
data_AlCoW
_symmetry_space_group_name_H-M 'P 1'
_symmetry_Int_Tables_number 1
_cell_length_a 4.812
_cell_length_b 4.812
_cell_length_c 7.768
_cell_angle_alpha 90.00
_cell_angle_beta 90.00
_cell_angle_gamma 118.69
loop_
_symmetry_equiv_pos_as_xyz
'x,y,z'
loop_
_atom_site_label
_atom_site_type_symbol
_atom_site_fract_x
_atom_site_fract_y
_atom_site_fract_z
_atom_site_occupancy
W1 W 0.663 0.337 0.174 1
W2 W 0.334 0.666 0.299 1
W3 W 0.663 0.337 0.826 1
W4 W 0.334 0.666 0.701 1
Al1 Al 0.990 0.010 0.237 1
Al2 Al 0.838 0.648 0.500 1
Al3 Al 0.352 0.162 0.500 1
Al4 Al 0.990 0.010 0.763 1
Co1 Co 0.176 0.350 0.000 1
Co2 Co 0.650 0.824 0.000 1
Co3 Co 0.171 0.829 0.000 1
Co4 Co 0.842 0.158 0.500 1